Computed, not measured: Ce3Nd2TmSe6 after structural relaxation at the GGA-PBE level of DFT.

Unit cell a=9.365 b=9.365 c=8.423 alpha=103.25 beta=103.25 gamma=25.67
Sites, in units of the cell vectors:
Ce 0.000 0.000 0.000
Ce 0.330 0.330 0.666
Ce 0.670 0.670 0.334
Nd 0.333 0.333 0.166
Nd 0.667 0.667 0.834
Tm 0.000 0.000 0.500
Se 0.161 0.161 0.579
Se 0.166 0.166 0.084
Se 0.498 0.498 0.737
Se 0.502 0.502 0.263
Se 0.834 0.834 0.916
Se 0.839 0.839 0.421

Properties
DFT total energy   -6.1978 eV per atom
Formation energy from raw total energies   -1.80 eV per atom



Computed, not measured: CeNd2Tm3Se6 after structural relaxation at the GGA-PBE level of DFT.

Unit cell a=9.296 b=9.296 c=8.397 alpha=105.28 beta=105.28 gamma=25.17
Sites, in units of the cell vectors:
Ce 0.000 0.000 0.000
Nd 0.334 0.334 0.668
Nd 0.666 0.666 0.332
Tm 0.000 0.000 0.500
Tm 0.333 0.333 0.165
Tm 0.667 0.667 0.835
Se 0.163 0.163 0.595
Se 0.171 0.171 0.072
Se 0.495 0.495 0.260
Se 0.505 0.505 0.740
Se 0.829 0.829 0.928
Se 0.837 0.837 0.405

Properties
DFT total energy   -5.9091 eV per atom
Formation energy from raw total energies   -1.76 eV per atom



Computed, not measured: Ce4NdTm3Se8 after structural relaxation at the GGA-PBE level of DFT.

Unit cell a=8.333 b=8.333 c=8.333 alpha=59.15 beta=59.15 gamma=59.15
Sites, in units of the cell vectors:
Ce 0.000 0.000 0.000
Ce 0.000 0.500 0.500
Ce 0.500 0.000 0.500
Ce 0.500 0.500 0.000
Nd 0.500 0.500 0.500
Tm 0.000 0.000 0.500
Tm 0.000 0.500 0.000
Tm 0.500 0.000 0.000
Se 0.237 0.751 0.751
Se 0.244 0.244 0.244
Se 0.249 0.249 0.763
Se 0.249 0.763 0.249
Se 0.751 0.237 0.751
Se 0.751 0.751 0.237
Se 0.756 0.756 0.756
Se 0.763 0.249 0.249

Properties
DFT total energy   -6.1340 eV per atom
Formation energy from raw total energies   -1.77 eV per atom



Computed, not measured: Ce2Nd3TmSe6 after structural relaxation at the GGA-PBE level of DFT.

Unit cell a=7.244 b=7.244 c=7.270 alpha=99.58 beta=99.58 gamma=120.08
Sites, in units of the cell vectors:
Ce 0.166 0.834 0.000
Ce 0.834 0.166 0.000
Nd 0.000 0.000 0.500
Nd 0.330 0.670 0.500
Nd 0.670 0.330 0.500
Tm 0.500 0.500 0.000
Se 0.096 0.420 0.760
Se 0.258 0.258 0.244
Se 0.420 0.096 0.760
Se 0.580 0.904 0.240
Se 0.742 0.742 0.756
Se 0.904 0.580 0.240

Properties
DFT total energy   -6.1035 eV per atom
Formation energy from raw total energies   -1.81 eV per atom



Computed, not measured: CeNd3Tm3Se8 after structural relaxation at the GGA-PBE level of DFT.

Unit cell a=8.261 b=8.261 c=8.261 alpha=59.67 beta=59.67 gamma=59.67
Sites, in units of the cell vectors:
Ce 0.000 0.000 0.000
Nd 0.000 0.000 0.500
Nd 0.000 0.500 0.000
Nd 0.500 0.000 0.000
Tm 0.000 0.500 0.500
Tm 0.500 0.000 0.500
Tm 0.500 0.500 0.000
Se 0.256 0.256 0.256
Se 0.257 0.257 0.730
Se 0.257 0.730 0.257
Se 0.270 0.743 0.743
Se 0.730 0.257 0.257
Se 0.743 0.270 0.743
Se 0.743 0.743 0.270
Se 0.744 0.744 0.744

Properties
DFT total energy   -5.9096 eV per atom
Formation energy from raw total energies   -1.81 eV per atom



Computed, not measured: CeNd3Y2Se6 after structural relaxation at the GGA-PBE level of DFT.

Unit cell a=7.229 b=7.229 c=7.264 alpha=99.58 beta=99.58 gamma=120.14
Sites, in units of the cell vectors:
Ce 0.000 0.000 0.000
Nd 0.166 0.834 0.500
Nd 0.500 0.500 0.500
Nd 0.834 0.166 0.500
Y 0.333 0.667 0.000
Y 0.667 0.333 0.000
Se 0.080 0.419 0.241
Se 0.259 0.259 0.761
Se 0.419 0.080 0.241
Se 0.581 0.920 0.759
Se 0.741 0.741 0.239
Se 0.920 0.581 0.759

Properties
DFT total energy   -6.3224 eV per atom
Formation energy from raw total energies   -1.82 eV per atom